Entry from the Alexandria database: La3Nd3CoHg2 after structural relaxation (GGA-PBE).

## Properties
Total DFT energy (no corrections): -4.358 eV per atom
Calculated volume: 262.0 Å³ per cell
Density: 8.30 g/cm3

abc: 8.8766 8.8766 3.8395
angles: 90.00 90.00 120.00
Space group P-62m (No. 189)
One atom of each set of equivalent atoms:
La (0.0000, 0.7690, 0.0000)
Nd (0.0000, 0.4084, 0.5000)
Co (0.0000, 0.0000, 0.5000)
Hg (0.3333, 0.6667, 0.0000)

***

Entry from the Alexandria database: MgSc2Cl2 after structural relaxation (GGA-PBE).

## Properties
Total DFT energy (no corrections): -4.186 eV per atom
Calculated volume: 204.4 Å³ per cell
Density: 3.01 g/cm3
E_form (uncorrected): -0.596 eV per atom

abc: 8.089 8.089 3.123
angles: 90.00 90.00 90.00
Space group P4/mbm (No. 127)
One atom of each set of equivalent atoms:
Mg (0.000, 0.000, 0.000)
Sc (0.174, 0.326, 0.500)
Cl (0.128, 0.628, 0.000)

***

Entry from the Alexandria database: Nd2ZnSb3Pd4 after structural relaxation (GGA-PBE).

## Properties
Total DFT energy (no corrections): -5.215 eV per atom
Calculated volume: 216.9 Å³ per cell
Density: 8.77 g/cm3
E_form (uncorrected): -0.820 eV per atom

abc: 4.469 4.469 10.858
angles: 90.00 90.00 90.00
Space group P-4m2 (No. 115)
One atom of each set of equivalent atoms:
Nd (0.000, 0.500, 0.245)
Zn (0.000, 0.000, 0.500)
Sb (0.000, 0.500, 0.863)
Sb (0.500, 0.500, 0.500)
Pd (0.000, 0.000, 0.000)
Pd (0.000, 0.500, 0.625)
Pd (0.500, 0.500, 0.000)

***

Entry from the Alexandria database: Pm3Cu2Pb4 after structural relaxation (GGA-PBE).

## Properties
Total DFT energy (no corrections): -4.518 eV per atom
Calculated volume: 236.2 Å³ per cell
Density: 9.78 g/cm3

abc: 4.583 6.348 8.989
angles: 103.46 90.01 111.15
Space group P-1 (No. 2)
One atom of each set of equivalent atoms:
Pm (0.000, 0.000, 0.000)
Pm (0.371, 0.741, 0.307)
Cu (0.287, 0.576, 0.593)
Pb (0.079, 0.155, 0.376)
Pb (0.300, 0.599, 0.907)

***

Entry from the Alexandria database: BaCoGe4 after structural relaxation (GGA-PBE).

## Properties
Total DFT energy (no corrections): -4.531 eV per atom
Calculated volume: 153.2 Å³ per cell
Density: 5.28 g/cm3

abc: 4.642 4.642 7.108
angles: 90.00 90.11 90.00
Space group P2/m (No. 10)
One atom of each set of equivalent atoms:
Ba (0.000, 0.000, 0.000)
Co (0.500, 0.500, 0.500)
Ge (0.000, 0.500, 0.500)
Ge (0.500, 0.000, 0.500)
Ge (0.500, 0.500, 0.165)

***

Entry from the Alexandria database: GaTe2N2 after structural relaxation (GGA-PBE).

## Properties
Total DFT energy (no corrections): -3.750 eV per atom
Calculated volume: 89.8 Å³ per cell
Density: 6.53 g/cm3
E_form (uncorrected): 1.442 eV per atom

abc: 4.674 4.674 4.108
angles: 90.00 90.00 90.00
Space group P4/mmm (No. 123)
One atom of each set of equivalent atoms:
Ga (0.000, 0.000, 0.000)
Te (0.000, 0.500, 0.500)
N (0.500, 0.500, 0.000)
N (0.500, 0.500, 0.500)

***

Entry from the Alexandria database: Tl2HgO after structural relaxation (GGA-PBE).

## Properties
Total DFT energy (no corrections): -2.932 eV per atom
Calculated volume: 326.9 Å³ per cell
Density: 9.53 g/cm3
E_form (uncorrected): -0.434 eV per atom

abc: 3.6199 3.6199 28.8039
angles: 90.00 90.00 120.00
Space group R-3m (No. 166, hexagonal axes)
One atom of each set of equivalent atoms:
Tl (0.0000, 0.0000, 0.2192)
Hg (0.0000, 0.0000, 0.0000)
O (0.0000, 0.0000, 0.5000)

***

Entry from the Alexandria database: BaZrUO6 after structural relaxation (GGA-PBE).

## Properties
Total DFT energy (no corrections): -8.944 eV per atom
Calculated volume: 321.3 Å³ per cell
Density: 5.82 g/cm3
E_form (uncorrected): -3.221 eV per atom

abc: 5.7422 5.7422 11.2505
angles: 90.00 90.00 120.00
Space group P-31c (No. 163)
One atom of each set of equivalent atoms:
Ba (0.0000, 0.0000, 0.0000)
Zr (0.3333, 0.6667, 0.2500)
U (0.3333, 0.6667, 0.7500)
O (0.0043, 0.3837, 0.6505)